The following is a DFT calculation (PBEsol) of a relaxed structure of Tl2HgSb.

Cell: 3.294 4.482 7.422 Å, 90.00 90.11 90.00°
Fractional coordinates of all 4 atoms:
Tl  0.002  0.000  0.252
Tl  0.998  0.000  0.748
Hg  0.500  0.500  0.500
Sb  0.500  0.500  0.000

## Properties
density of states at the Fermi level: 1.80 states/eV/cell
energy relative to the elements, uncorrected: 0.02 eV/atom
energy above the most stable polymorph in this dataset: 0.110 eV per formula unit
E: -10.29 eV for the cell shown
space-group type: P2/m, No. 10